[1]
{
  "formula": "La2BeNb2",
  "functional": "PBE",
  "state": "optimized geometry",
  "cell": [[7.396, 0.642, 4.136], [3.552, -2.638, 7.243], [3.352, -4.796, -0.974]],
  "species": ["Nb", "Nb", "Nb", "Nb", "La", "La", "La", "La", "Be", "Be"],
  "fractional_positions": [[0.110, 0.110, 0.890], [0.140, 0.140, 0.360], [0.890, 0.890, 0.110], [0.360, 0.360, 0.140], [0.625, 0.625, 0.625], [0.625, 0.625, 0.125], [0.625, 0.125, 0.625], [0.125, 0.625, 0.625], [0.500, 0.500, 0.500], [0.750, 0.750, 0.750]],
  "rho_kg_m3": 6040,
  "magnetic_moment_mub_per_atom": 0.021,
  "crystal_system": "orthorhombic",
  "spacegroup": "Fddd (70)",
  "energy_ev_per_fu": -26.2
}

***

[2]
{
  "formula": "LaBeNbOs",
  "functional": "PBE",
  "state": "optimized geometry",
  "cell": [[0.000, 3.271, 3.271], [3.271, 0.000, 3.271], [3.271, 3.271, 0.000]],
  "species": ["La", "Os", "Be", "Nb"],
  "fractional_positions": [[0.500, 0.500, 0.500], [0.000, 0.000, 0.000], [0.750, 0.750, 0.750], [0.250, 0.250, 0.250]],
  "rho_kg_m3": 10224,
  "magnetic_moment_mub_per_atom": 0.000,
  "crystal_system": "cubic",
  "de_polymorph_mev_per_atom": 0,
  "spacegroup": "F-43m (216)",
  "energy_ev_per_fu": -28.8
}

***

[3]
{
  "formula": "LaBeNbOs",
  "functional": "PBE",
  "state": "optimized geometry",
  "cell": [[0.000, 3.350, 3.350], [3.350, 0.000, 3.350], [3.350, 3.350, 0.000]],
  "species": ["La", "Be", "Nb", "Os"],
  "fractional_positions": [[0.000, 0.000, 0.000], [0.750, 0.750, 0.750], [0.500, 0.500, 0.500], [0.250, 0.250, 0.250]],
  "rho_kg_m3": 9518,
  "magnetic_moment_mub_per_atom": 0.029,
  "crystal_system": "cubic",
  "de_polymorph_mev_per_atom": 125,
  "spacegroup": "F-43m (216)",
  "energy_ev_per_fu": -28.3
}

***

[4]
{
  "formula": "LaBeNbOs",
  "functional": "PBE",
  "state": "optimized geometry",
  "cell": [[0.000, 3.234, 3.234], [3.234, 0.000, 3.234], [3.234, 3.234, 0.000]],
  "species": ["Os", "Nb", "Be", "La"],
  "fractional_positions": [[0.000, 0.000, 0.000], [0.500, 0.500, 0.500], [0.750, 0.750, 0.750], [0.250, 0.250, 0.250]],
  "rho_kg_m3": 10581,
  "magnetic_moment_mub_per_atom": 0.005,
  "crystal_system": "cubic",
  "de_polymorph_mev_per_atom": 256,
  "spacegroup": "F-43m (216)",
  "energy_ev_per_fu": -27.8
}